Entry 1:
This record from Alexandria describes a relaxed structure of MnCdAs2P. The functional is PBE-GGA.

a = 4.7932 Å, b = 4.7932 Å, c = 4.8302 Å
α = 90.00°, β = 90.00°, γ = 90.00°
With the nearest neighbours (Å) after each atom.
Space group P4/mmm (No. 123)
One atom of each set of equivalent atoms:
Mn (0.0000, 0.0000, 0.0000)  4 Cd 3.39, 8 As 3.40
Cd (0.5000, 0.5000, 0.0000)  2 P 2.42
As (0.0000, 0.5000, 0.5000)  2 P 2.40
P (0.5000, 0.5000, 0.5000)  4 As 2.40, 2 Cd 2.42

Output
Total energy   -3.703 eV per atom
Formation energy from the elements   1256 meV/atom
V   22.20 Å³ per atom
M_tot   0.3 μB per formula unit

=====

Entry 2:
This record from Alexandria describes a relaxed structure of HfGa2Sb2. The functional is PBE-GGA.

a = 7.4574 Å, b = 7.4574 Å, c = 3.9108 Å
α = 90.00°, β = 90.00°, γ = 90.00°
With the nearest neighbours (Å) after each atom.
Space group P4/mbm (No. 127)
One atom of each set of equivalent atoms:
Hf (0.0000, 0.0000, 0.0000)  4 Ga 2.92
Ga (0.1300, 0.3700, 0.0000)  1 Ga 2.74, 6 Sb 2.81-3.04, 2 Hf 2.92
Sb (0.1781, 0.6781, 0.5000)  6 Ga 2.81-3.04

Output
Uncorrected formation energy   0.04 eV/atom
Total energy   -4.812 eV per atom
Relative energy among the computed polymorphs   0.0000 eV per atom
V   21.75 Å³ per atom
M_tot   0.0 μB per formula unit

=====

Entry 3:
This record from Alexandria describes a relaxed structure of TbEr3N4. The functional is PBE-GGA.

a = 4.8739 Å, b = 4.8739 Å, c = 4.8739 Å
α = 90.00°, β = 90.00°, γ = 90.00°
With the nearest neighbours (Å) after each atom.
Space group Pm-3m (No. 221)
One atom of each set of equivalent atoms:
Tb (0.0000, 0.0000, 0.0000)  6 N 2.44
Er (0.0000, 0.5000, 0.5000)  6 N 2.44
N (0.0000, 0.0000, 0.5000)  2 Tb 2.44, 4 Er 2.44
N (0.5000, 0.5000, 0.5000)  6 Er 2.44

Output
Uncorrected formation energy   -1.75 eV/atom
Total energy   -8.201 eV per atom
V   14.47 Å³ per atom
M_tot   0.0 μB per formula unit